# 1
First-principles (PBE-GGA) data for an optimized crystal structure of RhAuCl2, as listed in Alexandria via LeMat-Bulk.

Cell and atoms, written as POSCAR:
```
RhAuCl2
1.0
-0.952 1.960 -6.470
0.620 -0.754 -6.756
-3.953 -2.091 -1.889
Cl Au Rh
2 1 1
Cartesian
-2.526 -0.793 -6.342 Cl
-3.570 -1.740 -3.104 Cl
-1.071 -0.221 -3.779 Au
-3.214 -0.664 -11.336 Rh
```

Total magnetization ... 0.00 μB/cell
Symmetry ... C2/m
Density of states at the Fermi level ... 1.28 states/eV per cell

# 2
First-principles (PBE-GGA) data for an optimized crystal structure of RhAuCl, as listed in Alexandria via LeMat-Bulk.

Cell and atoms, written as POSCAR:
```
RhAuCl
1.0
4.429 0.000 0.000
2.215 3.836 0.000
2.215 1.279 3.616
Cl Au Rh
1 1 1
Cartesian
4.429 2.557 1.808 Cl
0.000 0.000 0.000 Au
6.644 3.836 2.712 Rh
```

Total magnetization ... 1.38 μB/cell
Symmetry ... F-43m
Density of states at the Fermi level ... 4.35 states/eV per cell

# 3
First-principles (PBE-GGA) data for an optimized crystal structure of RhAu2Cl, as listed in Alexandria via LeMat-Bulk.

Cell and atoms, written as POSCAR:
```
RhAu2Cl
1.0
5.781 -0.001 0.000
3.290 4.753 0.000
-4.535 -2.376 2.684
Au Cl Rh
2 1 1
Cartesian
0.000 0.000 0.000 Au
4.535 2.376 0.000 Au
1.645 2.377 1.342 Cl
2.890 -0.001 1.342 Rh
```

Total magnetization ... 0.00 μB/cell
Symmetry ... I4/mmm
Density of states at the Fermi level ... 4.57 states/eV per cell

# 4
First-principles (PBE-GGA) data for an optimized crystal structure of RhAuCl2, as listed in Alexandria via LeMat-Bulk.

Cell and atoms, written as POSCAR:
```
RhAuCl2
1.0
3.357 0.001 0.000
-1.246 3.117 0.000
0.000 0.000 8.132
Cl Rh Au
2 1 1
Cartesian
1.055 1.559 2.670 Cl
0.000 0.000 7.608 Cl
0.000 0.000 4.105 Rh
1.055 1.559 5.946 Au
```

Total magnetization ... 1.27 μB/cell
Symmetry ... Cmm2
Density of states at the Fermi level ... 2.99 states/eV per cell

# 5
First-principles (PBE-GGA) data for an optimized crystal structure of RhAu2Cl, as listed in Alexandria via LeMat-Bulk.

Cell and atoms, written as POSCAR:
```
RhAu2Cl
1.0
9.002 -0.014 -0.008
8.476 3.033 -0.008
8.476 1.464 2.656
Cl Au Rh
1 2 1
Cartesian
12.561 2.169 1.277 Cl
0.191 0.033 0.019 Au
6.622 1.144 0.673 Au
19.557 3.377 1.989 Rh
```

Total magnetization ... 1.04 μB/cell
Symmetry ... R3m
Density of states at the Fermi level ... 2.90 states/eV per cell

# 6
First-principles (PBE-GGA) data for an optimized crystal structure of RhAu2Cl, as listed in Alexandria via LeMat-Bulk.

Cell and atoms, written as POSCAR:
```
RhAu2Cl
1.0
2.988 0.000 0.000
0.000 4.543 0.000
0.000 0.000 5.258
Cl Au Rh
1 2 1
Cartesian
1.494 0.000 2.629 Cl
0.000 0.000 0.000 Au
1.494 2.272 0.000 Au
0.000 2.272 2.629 Rh
```

Total magnetization ... 0.00 μB/cell
Symmetry ... Pmmm
Density of states at the Fermi level ... 2.83 states/eV per cell

# 7
First-principles (PBE-GGA) data for an optimized crystal structure of RhAuCl, as listed in Alexandria via LeMat-Bulk.

Cell and atoms, written as POSCAR:
```
RhAuCl
1.0
-0.275 1.177 -3.111
2.574 -2.702 -3.038
-7.218 -4.789 -2.912
Rh Au Cl
2 2 2
Cartesian
-1.009 -0.847 -2.024 Rh
-3.909 -5.466 -7.038 Rh
-6.250 -4.204 -6.357 Au
1.332 -2.109 -2.705 Au
-2.779 -4.898 -5.132 Cl
-2.139 -1.416 -3.930 Cl
```

Total magnetization ... 0.00 μB/cell
Symmetry ... P-1
Density of states at the Fermi level ... 5.77 states/eV per cell

# 8
First-principles (PBE-GGA) data for an optimized crystal structure of RhAu2Cl, as listed in Alexandria via LeMat-Bulk.

Cell and atoms, written as POSCAR:
```
RhAu2Cl
1.0
-4.194 3.464 -4.117
-4.724 0.735 -4.867
-3.666 0.202 1.853
Rh Au Cl
1 2 1
Cartesian
-3.146 1.100 -1.783 Rh
-6.578 2.417 -4.154 Au
-8.633 3.982 -8.397 Au
-9.439 3.301 -5.349 Cl
```

Total magnetization ... 0.00 μB/cell
Symmetry ... Immm
Density of states at the Fermi level ... 3.41 states/eV per cell

Energy above the lowest structure with this stoichiometry in meV/atom, matching the order above: 43; 535; 338; 212; 36; 256; 0; 89